A plane-wave DFT calculation with PBE-GGA was carried out for a relaxed structure of Ac2Mg6TlIn.

The density of states at the Fermi level comes out at 17.3 states/eV per cell. The calculated density is 5.01 g/cm³.

It has space group Pmmn (No. 59, origin choice 2), with a = 8.1106 Å, b = 10.0583 Å, c = 7.4623 Å, α = 90.00°, β = 90.00° and γ = 90.00°. The distinct sites, in fractional coordinates, are Ac at (0.2500, 0.0013, 0.2483), Mg at (0.0717, 0.7500, 0.9283), Mg at (0.0730, 0.2500, 0.5713), Mg at (0.2500, 0.0000, 0.7499), Tl at (0.2500, 0.7500, 0.5598) and In at (0.2500, 0.2500, 0.9363).

***

A plane-wave DFT calculation with PBE-GGA was carried out for a relaxed structure of Ac2Mg4Tl3In.

The density of states at the Fermi level comes out at 3.9 states/eV per cell. The calculated density is 7.54 g/cm³.

It has space group P-4m2 (No. 115), with a = 4.8393 Å, b = 4.8393 Å, c = 12.0372 Å, α = 90.00°, β = 90.00° and γ = 90.00°. The distinct sites, in fractional coordinates, are Ac at (0.0000, 0.5000, 0.2472), Mg at (0.0000, 0.0000, 0.5000), Mg at (0.0000, 0.5000, 0.8656), Mg at (0.5000, 0.5000, 0.5000), Tl at (0.0000, 0.0000, 0.0000), Tl at (0.0000, 0.5000, 0.6368) and In at (0.5000, 0.5000, 0.0000).

***

A plane-wave DFT calculation with PBE-GGA was carried out for a relaxed structure of Ac2MgTlIn.

The density of states at the Fermi level comes out at 7.1 states/eV per cell. The calculated density is 7.98 g/cm³.

It has space group P2_1/m (No. 11), with a = 8.4075 Å, b = 4.9176 Å, c = 8.6313 Å, α = 90.00°, β = 111.54° and γ = 90.00°. The distinct sites, in fractional coordinates, are Ac at (0.1074, 0.2500, 0.3694), Ac at (0.3094, 0.2500, 0.9339), Mg at (0.4498, 0.7500, 0.3544), Tl at (0.1171, 0.7500, 0.0784) and In at (0.3435, 0.7500, 0.6597).

***

A plane-wave DFT calculation with PBE-GGA was carried out for a relaxed structure of AcMgTlIn.

The density of states at the Fermi level comes out at 13.6 states/eV per cell. The calculated density is 7.96 g/cm³.

It has space group F-43m (No. 216), with a = 7.8088 Å, b = 7.8088 Å, c = 7.8088 Å, α = 90.00°, β = 90.00° and γ = 90.00°. The distinct sites, in fractional coordinates, are Ac at (0.0000, 0.0000, 0.0000), Mg at (0.0000, 0.0000, 0.5000), Tl at (0.2500, 0.2500, 0.7500) and In at (0.2500, 0.2500, 0.2500).

***

A plane-wave DFT calculation with PBE-GGA was carried out for a relaxed structure of AcTm2MgIn4.

The density of states at the Fermi level comes out at 16.5 states/eV per cell. The calculated density is 7.71 g/cm³.

It has space group R-3m (No. 166, hexagonal axes), with a = 5.1477 Å, b = 5.1477 Å, c = 29.5360 Å, α = 90.00°, β = 90.00° and γ = 120.00°. The distinct sites, in fractional coordinates, are Ac at (0.0000, 0.0000, 0.0000), Tm at (0.0000, 0.0000, 0.2350), Mg at (0.0000, 0.0000, 0.5000), In at (0.0000, 0.0000, 0.1281) and In at (0.0000, 0.0000, 0.3938).

***

A plane-wave DFT calculation with PBE-GGA was carried out for a relaxed structure of AcTmMg2In4.

The density of states at the Fermi level comes out at 13.2 states/eV per cell. The calculated density is 6.82 g/cm³.

It has space group R-3m (No. 166, hexagonal axes), with a = 4.9426 Å, b = 4.9426 Å, c = 31.2107 Å, α = 90.00°, β = 90.00° and γ = 120.00°. The distinct sites, in fractional coordinates, are Ac at (0.0000, 0.0000, 0.0000), Tm at (0.0000, 0.0000, 0.5000), Mg at (0.0000, 0.0000, 0.2415), In at (0.0000, 0.0000, 0.1241) and In at (0.0000, 0.0000, 0.3955).

***

A plane-wave DFT calculation with PBE-GGA was carried out for a relaxed structure of Ac2TmMg3In4.

The density of states at the Fermi level comes out at 6.7 states/eV per cell. The calculated density is 6.62 g/cm³.

It has space group P-4m2 (No. 115), with a = 4.8244 Å, b = 4.8244 Å, c = 12.4561 Å, α = 90.00°, β = 90.00° and γ = 90.00°. The distinct sites, in fractional coordinates, are Ac at (0.0000, 0.5000, 0.2403), Tm at (0.0000, 0.0000, 0.5000), Mg at (0.0000, 0.5000, 0.8676), Mg at (0.5000, 0.5000, 0.5000), In at (0.0000, 0.0000, 0.0000), In at (0.0000, 0.5000, 0.6461) and In at (0.5000, 0.5000, 0.0000).

***

A plane-wave DFT calculation with PBE-GGA was carried out for a relaxed structure of AcTmMgIn.

The density of states at the Fermi level comes out at 13.3 states/eV per cell. The calculated density is 7.35 g/cm³.

It has space group F-43m (No. 216), with a = 7.8483 Å, b = 7.8483 Å, c = 7.8483 Å, α = 90.00°, β = 90.00° and γ = 90.00°. The distinct sites, in fractional coordinates, are Ac at (0.0000, 0.0000, 0.0000), Tm at (0.0000, 0.0000, 0.5000), Mg at (0.2500, 0.2500, 0.2500) and In at (0.2500, 0.2500, 0.7500).

***

A plane-wave DFT calculation with PBE-GGA was carried out for a relaxed structure of AcYMgIn.

The density of states at the Fermi level comes out at 14.1 states/eV per cell. The calculated density is 6.14 g/cm³.

It has space group F-43m (No. 216), with a = 7.8940 Å, b = 7.8940 Å, c = 7.8940 Å, α = 90.00°, β = 90.00° and γ = 90.00°. The distinct sites, in fractional coordinates, are Ac at (0.0000, 0.0000, 0.0000), Y at (0.0000, 0.0000, 0.5000), Mg at (0.2500, 0.2500, 0.2500) and In at (0.2500, 0.2500, 0.7500).

***

A plane-wave DFT calculation with PBE-GGA was carried out for a relaxed structure of AcMgZnIn.

The density of states at the Fermi level comes out at 3.3 states/eV per cell. The calculated density is 6.61 g/cm³.

It has space group F-43m (No. 216), with a = 7.5696 Å, b = 7.5696 Å, c = 7.5696 Å, α = 90.00°, β = 90.00° and γ = 90.00°. The distinct sites, in fractional coordinates, are Ac at (0.0000, 0.0000, 0.0000), Mg at (0.0000, 0.0000, 0.5000), Zn at (0.2500, 0.2500, 0.7500) and In at (0.2500, 0.2500, 0.2500).

***

A plane-wave DFT calculation with PBE-GGA was carried out for a relaxed structure of AcMgZn2In.

The density of states at the Fermi level comes out at 6.0 states/eV per cell. The calculated density is 6.84 g/cm³.

It has space group I-4m2 (No. 119), with a = 4.5368 Å, b = 4.5368 Å, c = 11.7165 Å, α = 90.00°, β = 90.00° and γ = 90.00°. The distinct sites, in fractional coordinates, are Ac at (0.0000, 0.0000, 0.0000), Mg at (0.0000, 0.5000, 0.7500), Zn at (0.0000, 0.0000, 0.3923) and In at (0.0000, 0.5000, 0.2500).

***

A plane-wave DFT calculation with PBE-GGA was carried out for a relaxed structure of Ac2MgZnIn6.

The density of states at the Fermi level comes out at 4.8 states/eV per cell. The calculated density is 7.17 g/cm³.

It has space group P-1 (No. 2), with a = 6.1269 Å, b = 7.2395 Å, c = 7.4350 Å, α = 75.44°, β = 68.83° and γ = 69.73°. The distinct sites, in fractional coordinates, are Ac at (0.0034, 0.2523, 0.2571), Mg at (0.5000, 0.5000, 0.0000), Zn at (0.5000, 0.0000, 0.5000), In at (0.0091, 0.7722, 0.2222), In at (0.3681, 0.4099, 0.4204) and In at (0.4925, 0.1716, 0.8135).

***

Asked for ΔH_f (0 K) across the records above, the calculation gives -0.0151 -0.2703 -0.3228 -0.2622 -0.3317 -0.2836 -0.3154 -0.2341 -0.2719 -0.2696 -0.3397 -0.2310 eV/atom in order.